Version A
Here is a geometry-optimized SrCaCr2 structure from the Alexandria database. Energies are from PBEsol.

Results
- Space-group type: No. 123

Cell: 3.8416 3.8416 7.6050 Å, 90.00 90.00 90.00°
Atoms (fractional coordinates):
Sr 0.5000 0.5000 0.0000
Ca 0.5000 0.5000 0.5000
Cr 0.0000 0.0000 0.7252
Cr 0.0000 0.0000 0.2748

Version B
Here is a geometry-optimized SrCaCr2 structure from the Alexandria database. Energies are from PBEsol.

Results
- Space-group type: No. 225

Cell: 5.4162 5.4162 5.4162 Å, 60.00 60.00 60.00°
Atoms (fractional coordinates):
Sr 0.0000 0.0000 0.0000
Ca 0.5000 0.5000 0.5000
Cr 0.7500 0.7500 0.7500
Cr 0.2500 0.2500 0.2500

version A ends up most stable, edging out the next structure by 10 meV per atom.

Version A
Here is a geometry-optimized CaTaCr2 structure from the Alexandria database. Energies are from PBEsol.

Results
- Space-group type: No. 6

Cell: 2.8812 3.6527 6.8887 Å, 90.00 98.11 90.00°
Atoms (fractional coordinates):
Cr 0.0830 0.0000 0.0870
Cr 0.4338 0.5000 0.2207
Ca 0.5681 0.5000 0.7773
Ta 0.9152 0.0000 0.4150

Version B
Here is a geometry-optimized CaTaCr2 structure from the Alexandria database. Energies are from PBEsol.

Results
- Space-group type: No. 12

Cell: 2.9629 4.7879 5.9067 Å, 94.58 90.00 108.02°
Atoms (fractional coordinates):
Cr 0.7560 0.5119 0.8695
Cr 0.2440 0.4881 0.1305
Ca 0.0000 0.0000 0.5000
Ta 0.5000 0.0000 0.0000

Version C
Here is a geometry-optimized CaTaCr2 structure from the Alexandria database. Energies are from PBEsol.

Results
- Space-group type: No. 44

Cell: 3.0046 4.5938 5.5274 Å, 114.55 105.77 90.00°
Atoms (fractional coordinates):
Cr 0.9624 0.9619 0.9248
Cr 0.3000 0.8002 0.6000
Ca 0.7279 0.2281 0.4558
Ta 0.5097 0.5099 0.0195

version A ends up most stable, edging out the next structure by 59 meV per atom.